Computed, not measured: TaZnCuPd after structural relaxation at the GGA-PBE level of DFT.

Cell and atoms, written as CIF:
```
data_TaZnCuPd
_chemical_formula_sum 'Ta1 Zn1 Cu1 Pd1'
_symmetry_space_group_name_H-M 'P 1'
_symmetry_Int_Tables_number 1
_cell_length_a 4.353
_cell_length_b 4.353
_cell_length_c 4.353
_cell_angle_alpha 60.00
_cell_angle_beta 60.00
_cell_angle_gamma 60.00
loop_
_symmetry_equiv_pos_as_xyz
'x,y,z'
loop_
_atom_site_label
_atom_site_fract_x
_atom_site_fract_y
_atom_site_fract_z
_atom_site_occupancy
Ta1 0.000 0.000 0.000 1
Zn1 0.250 0.250 0.250 1
Cu1 0.750 0.750 0.750 1
Pd1 0.500 0.500 0.500 1
```

Properties
- symmetry = F-43m, No. 216
- DFT formation energy (meV/atom) = -50.1
- calculated density (g/cm³) = 11.854
- DFT total energy (eV per atom) = -5.5524
- volume (Å³/atom) = 14.58


Computed, not measured: TaZnCuPd after structural relaxation at the GGA-PBE level of DFT.

Cell and atoms, written as CIF:
```
data_TaZnCuPd
_chemical_formula_sum 'Ta1 Zn1 Cu1 Pd1'
_symmetry_space_group_name_H-M 'P 1'
_symmetry_Int_Tables_number 1
_cell_length_a 4.378
_cell_length_b 4.378
_cell_length_c 4.378
_cell_angle_alpha 60.00
_cell_angle_beta 60.00
_cell_angle_gamma 60.00
loop_
_symmetry_equiv_pos_as_xyz
'x,y,z'
loop_
_atom_site_label
_atom_site_fract_x
_atom_site_fract_y
_atom_site_fract_z
_atom_site_occupancy
Ta1 0.000 0.000 0.000 1
Zn1 0.500 0.500 0.500 1
Cu1 0.750 0.750 0.750 1
Pd1 0.250 0.250 0.250 1
```

Properties
- symmetry = F-43m, No. 216
- DFT formation energy (meV/atom) = -139.5
- calculated density (g/cm³) = 11.651
- DFT total energy (eV per atom) = -5.6418
- volume (Å³/atom) = 14.83